Material: K2Tl4Cd3In
Method: DFT, GGA-PBE
State: optimized geometry

Cell: 5.005 5.005 13.038 Å, 90.00 90.00 90.00°
Sites, in units of the cell vectors:
K 0.000 0.500 0.249
K 0.500 0.000 0.751
Tl 0.000 0.000 0.500
Tl 0.000 0.500 0.863
Tl 0.500 0.000 0.137
Tl 0.500 0.500 0.500
Cd 0.000 0.000 0.000
Cd 0.000 0.500 0.637
Cd 0.500 0.000 0.363
In 0.500 0.500 0.000

## Properties
- calculated formation energy (kJ per mole of atoms) = -5
- space group = P-4m2, No. 115
- V (Å³ per cell) = 326.6
- magnetization (μB/f.u.) = 0.000
- uncorrected energy (eV/atom) = -1.767